Nd2ZnAg after structural relaxation. Source: Alexandria via LeMat-Bulk, functional PBE.

Summary:
As for the size of the total moment: 0.01 μB/cell. Its calculated formation energy is -0.29 eV per atom. The calculation puts the total energy at -14.826 eV for the cell shown.

a b c (Å): 3.7498 3.7498 7.3148
angles (deg): 90.00 90.00 90.00
Last column: nearest neighbours and their distance in Å.
Atoms (fractional coordinates):
Nd (0.0000, 0.0000, 0.2420)  4 Zn 3.19, 4 Ag 3.25, 1 Nd 3.54
Nd (0.0000, 0.0000, 0.7580)  4 Zn 3.19, 4 Ag 3.25, 1 Nd 3.54
Zn (0.5000, 0.5000, 0.0000)  8 Nd 3.19
Ag (0.5000, 0.5000, 0.5000)  8 Nd 3.25

LaMn2Tc after structural relaxation. Source: Alexandria via LeMat-Bulk, functional PBE.

Summary:
As for the size of the total moment: 5.96 μB/cell. Its calculated formation energy is 0.49 eV per atom. The calculation puts the total energy at -31.680 eV for the cell shown.

a b c (Å): 5.6376 5.6376 5.6376
angles (deg): 147.01 129.91 61.29
Last column: nearest neighbours and their distance in Å.
Atoms (fractional coordinates):
La (0.0000, 0.0000, 0.0000)  8 Mn 2.92-3.19, 2 Tc 2.93, 2 La 3.20
Mn (0.4448, 0.4448, 0.0000)  2 Tc 2.46
Mn (0.7178, 0.2178, 0.5000)  4 Tc 2.89, 4 Mn 3.09-3.20, 4 La 3.17-3.19
Tc (0.2525, 0.7525, 0.5000)  2 Mn 2.46

LaEr12Tm2 after structural relaxation. Source: Alexandria via LeMat-Bulk, functional PBE.

Summary:
As for the size of the total moment: 0.01 μB/cell. Its calculated formation energy is 0.32 eV per atom. The calculation puts the total energy at -127.667 eV for the cell shown.

a b c (Å): 6.3310 6.3310 24.9770
angles (deg): 90.00 90.00 90.00
Last column: nearest neighbours and their distance in Å.
Atoms (fractional coordinates):
La (0.2500, 0.7500, 0.0000)  4 Er 3.43
La (0.7500, 0.2500, 0.0000)  4 Er 3.43
Er (0.0679, 0.5679, 0.1206)  7 Er 3.26-3.37, 1 La 3.43
Er (0.0679, 0.9321, 0.8794)  7 Er 3.26-3.37, 1 La 3.43
Er (0.0810, 0.5810, 0.4399)  6 Er 3.03-3.34
Er (0.0810, 0.9190, 0.5601)  6 Er 3.03-3.34
Er (0.2500, 0.2500, 0.2187)  5 Er 3.07-3.37
Er (0.2500, 0.2500, 0.3417)  5 Er 3.07-3.40
Er (0.2500, 0.2500, 0.6583)  5 Er 3.07-3.40
Er (0.2500, 0.2500, 0.7813)  5 Er 3.07-3.37
Er (0.4190, 0.5810, 0.5601)  6 Er 3.03-3.34
Er (0.4190, 0.9190, 0.4399)  6 Er 3.03-3.34
Er (0.4321, 0.5679, 0.8794)  7 Er 3.26-3.37, 1 La 3.43
Er (0.4321, 0.9321, 0.1206)  7 Er 3.26-3.37, 1 La 3.43
Er (0.5679, 0.0679, 0.8794)  7 Er 3.26-3.37, 1 La 3.43
Er (0.5679, 0.4321, 0.1206)  7 Er 3.26-3.37, 1 La 3.43
Er (0.5810, 0.0810, 0.5601)  6 Er 3.03-3.34
Er (0.5810, 0.4190, 0.4399)  6 Er 3.03-3.34
Er (0.7500, 0.7500, 0.2187)  5 Er 3.07-3.37
Er (0.7500, 0.7500, 0.3417)  5 Er 3.07-3.40
Er (0.7500, 0.7500, 0.6583)  5 Er 3.07-3.40
Er (0.7500, 0.7500, 0.7813)  5 Er 3.07-3.37
Er (0.9190, 0.0810, 0.4399)  6 Er 3.03-3.34
Er (0.9190, 0.4190, 0.5601)  6 Er 3.03-3.34
Er (0.9321, 0.0679, 0.1206)  7 Er 3.26-3.37, 1 La 3.43
Er (0.9321, 0.4321, 0.8794)  7 Er 3.26-3.37, 1 La 3.43
Tm (0.2500, 0.7500, 0.2780)  8 Er 3.50-3.54
Tm (0.2500, 0.7500, 0.7220)  8 Er 3.50-3.54
Tm (0.7500, 0.2500, 0.2780)  8 Er 3.50-3.54
Tm (0.7500, 0.2500, 0.7220)  8 Er 3.50-3.54

Which value of total energy does entry 2 give?
-31.680 eV for the cell shown